(1)
! ZnHg2Mo (PBE, relaxed); values from VASP
&SYSTEM
  ibrav = 0, nat = 16, ntyp = 3
/
ATOMIC_SPECIES
Zn 65.41 Zn.upf
Hg 200.59 Hg.upf
Mo 95.94 Mo.upf
ATOMIC_POSITIONS crystal
Zn 0.000 0.000 0.000
Zn 0.000 0.500 0.500
Zn 0.500 0.000 0.500
Zn 0.500 0.500 0.000
Hg 0.000 0.000 0.500
Hg 0.000 0.500 0.000
Hg 0.250 0.250 0.250
Hg 0.250 0.750 0.750
Hg 0.500 0.000 0.000
Hg 0.500 0.500 0.500
Hg 0.750 0.250 0.750
Hg 0.750 0.750 0.250
Mo 0.250 0.250 0.750
Mo 0.250 0.750 0.250
Mo 0.750 0.250 0.250
Mo 0.750 0.750 0.750
CELL_PARAMETERS angstrom
6.714 0.000 0.000
0.000 6.714 0.000
0.000 0.000 6.714
! DFT formation energy: 0.676 eV/atom

=====

(2)
! AcHo5Er6 (PBE, relaxed); values from VASP
&SYSTEM
  ibrav = 0, nat = 12, ntyp = 3
/
ATOMIC_SPECIES
Ac 227.00 Ac.upf
Ho 164.93 Ho.upf
Er 167.26 Er.upf
ATOMIC_POSITIONS crystal
Ac 0.000 0.000 0.000
Ho 0.167 0.833 0.500
Ho 0.333 0.667 0.000
Ho 0.500 0.500 0.500
Ho 0.667 0.333 0.000
Ho 0.833 0.167 0.500
Er 0.084 0.421 0.255
Er 0.252 0.252 0.745
Er 0.421 0.084 0.255
Er 0.579 0.916 0.745
Er 0.748 0.748 0.255
Er 0.916 0.579 0.745
CELL_PARAMETERS angstrom
3.077 -5.326 0.000
3.077 5.326 0.000
-2.047 0.000 11.578
! DFT formation energy: 0.036 eV/atom

=====

(3)
! HoMgPd3 (PBE, relaxed); values from VASP
&SYSTEM
  ibrav = 0, nat = 20, ntyp = 3
/
ATOMIC_SPECIES
Ho 164.93 Ho.upf
Mg 24.30 Mg.upf
Pd 106.42 Pd.upf
ATOMIC_POSITIONS crystal
Ho 0.000 0.500 0.000
Ho 0.161 0.839 0.750
Ho 0.500 0.000 0.500
Ho 0.839 0.161 0.250
Mg 0.086 0.678 0.375
Mg 0.322 0.914 0.125
Mg 0.678 0.086 0.875
Mg 0.914 0.322 0.625
Pd 0.155 0.257 0.332
Pd 0.233 0.422 0.613
Pd 0.257 0.155 0.832
Pd 0.393 0.483 0.881
Pd 0.422 0.233 0.113
Pd 0.483 0.393 0.381
Pd 0.517 0.607 0.619
Pd 0.578 0.767 0.887
Pd 0.607 0.517 0.119
Pd 0.743 0.845 0.168
Pd 0.767 0.578 0.387
Pd 0.845 0.743 0.668
CELL_PARAMETERS angstrom
6.020 -3.911 0.000
6.020 3.911 0.000
-0.263 0.000 8.783
! DFT formation energy: -0.516 eV/atom

=====

(4)
! NaMg4In7 (PBE, relaxed); values from VASP
&SYSTEM
  ibrav = 0, nat = 12, ntyp = 3
/
ATOMIC_SPECIES
Na 22.99 Na.upf
Mg 24.30 Mg.upf
In 114.82 In.upf
ATOMIC_POSITIONS crystal
Na 0.000 0.000 0.000
Mg 0.333 0.667 0.170
Mg 0.333 0.667 0.421
Mg 0.667 0.333 0.579
Mg 0.667 0.333 0.830
In 0.000 0.000 0.252
In 0.000 0.000 0.500
In 0.000 0.000 0.748
In 0.333 0.667 0.660
In 0.333 0.667 0.911
In 0.667 0.333 0.089
In 0.667 0.333 0.340
CELL_PARAMETERS angstrom
3.376 0.000 0.000
-1.688 2.924 0.000
0.000 0.000 30.438
! polymorph energy (0 for the lowest one): 0.0 meV per atom
! DFT formation energy: -0.049 eV/atom

=====

(5)
! LaRhBr2 (PBE, relaxed); values from VASP
&SYSTEM
  ibrav = 0, nat = 4, ntyp = 3
/
ATOMIC_SPECIES
La 138.91 La.upf
Rh 102.91 Rh.upf
Br 79.90 Br.upf
ATOMIC_POSITIONS crystal
La 0.000 0.000 0.000
Rh 0.500 0.500 0.000
Br 0.000 0.500 0.500
Br 0.500 0.000 0.500
CELL_PARAMETERS angstrom
4.663 0.000 0.000
0.000 4.663 0.000
0.000 0.000 4.169
! polymorph energy (0 for the lowest one): 435.2 meV per atom
! formation energy without anion corrections: -0.70 eV/atom

=====

(6)
! Sm3Ho6Er2Pu (PBE, relaxed); values from VASP
&SYSTEM
  ibrav = 0, nat = 12, ntyp = 4
/
ATOMIC_SPECIES
Sm 150.36 Sm.upf
Ho 164.93 Ho.upf
Er 167.26 Er.upf
Pu 244.00 Pu.upf
ATOMIC_POSITIONS crystal
Sm 0.000 0.000 0.000
Sm 0.333 0.667 0.000
Sm 0.667 0.333 0.000
Ho 0.088 0.417 0.255
Ho 0.253 0.253 0.745
Ho 0.417 0.088 0.255
Ho 0.583 0.912 0.745
Ho 0.747 0.747 0.255
Ho 0.912 0.583 0.745
Er 0.167 0.833 0.500
Er 0.833 0.167 0.500
Pu 0.500 0.500 0.500
CELL_PARAMETERS angstrom
3.066 -5.307 0.000
3.066 5.307 0.000
-2.021 0.000 11.494
! DFT formation energy: 0.043 eV/atom